Nd2TmSi after structural relaxation, computed with PBE.

Values from the calculation:
The distance to the lowest polymorph of the same formula is 0 meV/atom.

Geometry as CIF:
```
data_Nd2TmSi
_chemical_formula_sum 'Nd2 Tm1 Si1'
_symmetry_space_group_name_H-M 'P 4/m m m'
_symmetry_Int_Tables_number 123
_symmetry_space_group_name_Hall '-P 4 2'
_cell_length_a 4.704
_cell_length_b 4.704
_cell_length_c 4.759
_cell_angle_alpha 90.00
_cell_angle_beta 90.00
_cell_angle_gamma 90.00
loop_
_atom_site_label
_atom_site_type_symbol
_atom_site_fract_x
_atom_site_fract_y
_atom_site_fract_z
Nd1 Nd 0.000 0.500 0.000
Tm1 Tm 0.000 0.000 0.500
Si1 Si 0.500 0.500 0.500
```

=====

Nd2TmSi after structural relaxation, computed with PBE.

Values from the calculation:
The distance to the lowest polymorph of the same formula is 325 meV/atom.

Geometry as CIF:
```
data_Nd2TmSi
_chemical_formula_sum 'Nd6 Tm3 Si3'
_symmetry_space_group_name_H-M 'R -3 m'
_symmetry_Int_Tables_number 166
_symmetry_space_group_name_Hall '-R 3 2"'
_cell_length_a 3.6965
_cell_length_b 3.6965
_cell_length_c 32.5449
_cell_angle_alpha 90.00
_cell_angle_beta 90.00
_cell_angle_gamma 120.00
loop_
_atom_site_label
_atom_site_type_symbol
_atom_site_fract_x
_atom_site_fract_y
_atom_site_fract_z
Nd1 Nd 0.0000 0.0000 0.1060
Tm1 Tm 0.0000 0.0000 0.0000
Si1 Si 0.0000 0.0000 0.5000
```

=====

Nd3Tm3Si4 after structural relaxation, computed with PBE.

Geometry as CIF:
```
data_Nd3Tm3Si4
_chemical_formula_sum 'Nd6 Tm6 Si8'
_symmetry_space_group_name_H-M 'A m m 2'
_symmetry_Int_Tables_number 38
_symmetry_space_group_name_Hall 'A 2 -2'
_cell_length_a 4.338
_cell_length_b 10.690
_cell_length_c 10.554
_cell_angle_alpha 90.00
_cell_angle_beta 90.00
_cell_angle_gamma 90.00
loop_
_atom_site_label
_atom_site_type_symbol
_atom_site_fract_x
_atom_site_fract_y
_atom_site_fract_z
Nd1 Nd 0.000 0.000 0.000
Nd2 Nd 0.000 0.178 0.327
Tm1 Tm 0.000 0.000 0.648
Tm2 Tm 0.500 0.249 0.075
Si1 Si 0.500 0.000 0.213
Si2 Si 0.500 0.000 0.448
Si3 Si 0.500 0.114 0.819
```

=====

Nd2TmSi2 after structural relaxation, computed with PBE.

Values from the calculation:
The distance to the lowest polymorph of the same formula is 62 meV/atom.

Geometry as CIF:
```
data_Nd2TmSi2
_chemical_formula_sum 'Nd8 Tm4 Si8'
_symmetry_space_group_name_H-M 'C 1 2/m 1'
_symmetry_Int_Tables_number 12
_symmetry_space_group_name_Hall '-C 2y'
_cell_length_a 12.406
_cell_length_b 4.354
_cell_length_c 10.711
_cell_angle_alpha 90.00
_cell_angle_beta 117.03
_cell_angle_gamma 90.00
loop_
_atom_site_label
_atom_site_type_symbol
_atom_site_fract_x
_atom_site_fract_y
_atom_site_fract_z
Nd1 Nd 0.016 0.000 0.189
Nd2 Nd 0.180 0.000 0.592
Tm1 Tm 0.225 0.500 0.868
Si1 Si 0.009 0.500 0.393
Si2 Si 0.111 0.500 0.055
```

=====

NdTmSi after structural relaxation, computed with PBE.

Values from the calculation:
The distance to the lowest polymorph of the same formula is 224 meV/atom.

Geometry as CIF:
```
data_NdTmSi
_chemical_formula_sum 'Nd1 Tm1 Si1'
_symmetry_space_group_name_H-M 'P 3 m 1'
_symmetry_Int_Tables_number 156
_symmetry_space_group_name_Hall 'P 3 -2"'
_cell_length_a 4.6861
_cell_length_b 4.6861
_cell_length_c 4.2352
_cell_angle_alpha 90.00
_cell_angle_beta 90.00
_cell_angle_gamma 120.00
loop_
_atom_site_label
_atom_site_type_symbol
_atom_site_fract_x
_atom_site_fract_y
_atom_site_fract_z
Nd1 Nd 0.0000 0.0000 0.0000
Tm1 Tm 0.6667 0.3333 0.4755
Si1 Si 0.3333 0.6667 0.6148
```

=====

NdTmSi after structural relaxation, computed with PBE.

Values from the calculation:
The distance to the lowest polymorph of the same formula is 171 meV/atom.

Geometry as CIF:
```
data_NdTmSi
_chemical_formula_sum 'Nd6 Tm6 Si6'
_symmetry_space_group_name_H-M 'P m n 21'
_symmetry_Int_Tables_number 31
_symmetry_space_group_name_Hall 'P 2ac -2'
_cell_length_a 12.853
_cell_length_b 6.999
_cell_length_c 5.769
_cell_angle_alpha 90.00
_cell_angle_beta 90.00
_cell_angle_gamma 90.00
loop_
_atom_site_label
_atom_site_type_symbol
_atom_site_fract_x
_atom_site_fract_y
_atom_site_fract_z
Nd1 Nd 0.000 0.094 0.000
Nd2 Nd 0.168 0.447 0.721
Tm1 Tm 0.000 0.579 0.225
Tm2 Tm 0.166 0.933 0.505
Si1 Si 0.000 0.214 0.504
Si2 Si 0.165 0.806 0.024
```

=====

NdTm2Si4 after structural relaxation, computed with PBE.

Geometry as CIF:
```
data_NdTm2Si4
_chemical_formula_sum 'Nd2 Tm4 Si8'
_symmetry_space_group_name_H-M 'I m m m'
_symmetry_Int_Tables_number 71
_symmetry_space_group_name_Hall '-I 2 2'
_cell_length_a 3.877
_cell_length_b 4.252
_cell_length_c 17.441
_cell_angle_alpha 90.00
_cell_angle_beta 90.00
_cell_angle_gamma 90.00
loop_
_atom_site_label
_atom_site_type_symbol
_atom_site_fract_x
_atom_site_fract_y
_atom_site_fract_z
Nd1 Nd 0.000 0.000 0.000
Tm1 Tm 0.000 0.500 0.316
Si1 Si 0.000 0.000 0.432
Si2 Si 0.000 0.500 0.152
```

=====

NdTmSi after structural relaxation, computed with PBE.

Values from the calculation:
The distance to the lowest polymorph of the same formula is 0 meV/atom.

Geometry as CIF:
```
data_NdTmSi
_chemical_formula_sum 'Nd3 Tm3 Si3'
_symmetry_space_group_name_H-M 'P -6 2 m'
_symmetry_Int_Tables_number 189
_symmetry_space_group_name_Hall 'P -6 -2'
_cell_length_a 7.9039
_cell_length_b 7.9039
_cell_length_c 4.2814
_cell_angle_alpha 90.00
_cell_angle_beta 90.00
_cell_angle_gamma 120.00
loop_
_atom_site_label
_atom_site_type_symbol
_atom_site_fract_x
_atom_site_fract_y
_atom_site_fract_z
Nd1 Nd 0.0000 0.4035 0.0000
Tm1 Tm 0.0000 0.7405 0.5000
Si1 Si 0.0000 0.0000 0.0000
Si2 Si 0.3333 0.6667 0.5000
```

=====

Going through the records in order, we get ΔE_f (raw) values of -0.2361, 0.0889, -0.6950, -0.6348, -0.3223, -0.3748, -0.7479, -0.5461 eV per atom.
Going through the records in order, we get DOS at the Fermi energy values of 3.91, 6.67, 7.93, 3.44, 1.45, 2.14, 3.39, 3.49 states/eV/f.u..